<P>
This record from the Alexandria database describes a relaxed RbTi3Si crystal. The functional is GGA-PBE.

abc: 4.927 4.927 4.927
angles: 90.00 90.00 90.00
Atoms (fractional coordinates):
Rb  0.000  0.000  0.000
Ti  0.000  0.500  0.500
Ti  0.500  0.000  0.500
Ti  0.500  0.500  0.000
Si  0.500  0.500  0.500

## Properties
- Spin magnetization: 0.00 μB/f.u.

---

<Q>
This record from the Alexandria database describes a relaxed RbTi3Si crystal. The functional is GGA-PBE.

abc: 4.633 4.633 4.633
angles: 90.00 90.00 90.00
Atoms (fractional coordinates):
Rb  0.000  0.000  0.000
Ti  0.000  0.000  0.500
Ti  0.000  0.500  0.000
Ti  0.500  0.000  0.000
Si  0.500  0.500  0.500

## Properties
- Spin magnetization: 1.41 μB/f.u.

---

Most stable: <P> (next structure +124.5 kJ/mol of atoms)

---

<P>
This record from the Alexandria database describes a relaxed RbTlSi2 crystal. The functional is GGA-PBE.

abc: 5.297 5.297 5.297
angles: 60.00 60.00 60.00
Atoms (fractional coordinates):
Rb  0.000  0.000  0.000
Tl  0.500  0.500  0.500
Si  0.250  0.250  0.250
Si  0.750  0.750  0.750

## Properties
- Spin magnetization: 0.00 μB/f.u.

---

<Q>
This record from the Alexandria database describes a relaxed RbTlSi2 crystal. The functional is GGA-PBE.

abc: 10.468 10.468 10.468
angles: 151.56 151.56 40.66
Atoms (fractional coordinates):
Rb  0.375  0.625  0.750
Rb  0.625  0.375  0.250
Tl  0.125  0.875  0.250
Tl  0.875  0.125  0.750
Si  0.000  0.000  0.000
Si  0.000  0.000  0.500
Si  0.000  0.500  0.000
Si  0.500  0.000  0.500

## Properties
- Spin magnetization: 0.00 μB/f.u.

---

Most stable: <Q> (next structure +33.5 kJ/mol of atoms)

---

<P>
This record from the Alexandria database describes a relaxed Rb2TlSi crystal. The functional is GGA-PBE.

abc: 6.038 6.038 6.038
angles: 60.00 60.00 60.00
Atoms (fractional coordinates):
Rb  0.250  0.250  0.250
Rb  0.750  0.750  0.750
Tl  0.000  0.000  0.000
Si  0.500  0.500  0.500

## Properties
- Spin magnetization: 1.00 μB/f.u.

---

<Q>
This record from the Alexandria database describes a relaxed Rb2TlSi crystal. The functional is GGA-PBE.

abc: 12.859 12.859 12.859
angles: 157.49 157.49 32.04
Atoms (fractional coordinates):
Rb  0.120  0.625  0.995
Rb  0.375  0.370  0.495
Rb  0.630  0.125  0.005
Rb  0.875  0.880  0.505
Tl  0.250  0.750  0.500
Tl  0.500  0.500  0.000
Si  0.000  0.000  0.000
Si  0.750  0.250  0.500

## Properties
- Spin magnetization: 0.02 μB/f.u.

---

Most stable: <P> (next structure +17.0 kJ/mol of atoms)

---

<P>
This record from the Alexandria database describes a relaxed RbTl2Si crystal. The functional is GGA-PBE.

abc: 5.551 5.551 5.551
angles: 60.00 60.00 60.00
Atoms (fractional coordinates):
Rb  0.000  0.000  0.000
Tl  0.250  0.250  0.250
Tl  0.750  0.750  0.750
Si  0.500  0.500  0.500

## Properties
- Spin magnetization: 0.00 μB/f.u.

---

<Q>
This record from the Alexandria database describes a relaxed RbTl2Si crystal. The functional is GGA-PBE.

abc: 7.239 7.239 7.239
angles: 103.97 103.97 121.14
Atoms (fractional coordinates):
Rb  0.000  0.000  0.000
Rb  0.750  0.250  0.500
Tl  0.212  0.625  0.087
Tl  0.375  0.462  0.587
Tl  0.538  0.125  0.913
Tl  0.875  0.788  0.413
Si  0.250  0.750  0.500
Si  0.500  0.500  0.000

## Properties
- Spin magnetization: 0.00 μB/f.u.

---

Most stable: <Q> (next structure +6.8 kJ/mol of atoms)

---

<P>
This record from the Alexandria database describes a relaxed RbVSi3 crystal. The functional is GGA-PBE.

abc: 4.744 4.744 4.744
angles: 90.00 90.00 90.00
Atoms (fractional coordinates):
Rb  0.000  0.000  0.000
V  0.500  0.500  0.500
Si  0.000  0.500  0.500
Si  0.500  0.000  0.500
Si  0.500  0.500  0.000

## Properties
- Spin magnetization: 0.00 μB/f.u.

---

<Q>
This record from the Alexandria database describes a relaxed RbVSi3 crystal. The functional is GGA-PBE.

abc: 5.266 5.266 5.266
angles: 90.00 90.00 90.00
Atoms (fractional coordinates):
Rb  0.000  0.000  0.000
V  0.500  0.500  0.500
Si  0.000  0.000  0.500
Si  0.000  0.500  0.000
Si  0.500  0.000  0.000

## Properties
- Spin magnetization: 3.25 μB/f.u.

---

Most stable: <P> (next structure +226.7 kJ/mol of atoms)

---

<P>
This record from the Alexandria database describes a relaxed RbSiW3 crystal. The functional is GGA-PBE.

abc: 4.710 4.710 4.710
angles: 90.00 90.00 90.00
Atoms (fractional coordinates):
Rb  0.000  0.000  0.000
Si  0.500  0.500  0.500
W  0.000  0.000  0.500
W  0.000  0.500  0.000
W  0.500  0.000  0.000

## Properties
- Spin magnetization: 0.00 μB/f.u.

---

<Q>
This record from the Alexandria database describes a relaxed RbSiW3 crystal. The functional is GGA-PBE.

abc: 4.739 4.739 4.739
angles: 90.00 90.00 90.00
Atoms (fractional coordinates):
Rb  0.000  0.000  0.000
Si  0.500  0.500  0.500
W  0.000  0.500  0.500
W  0.500  0.000  0.500
W  0.500  0.500  0.000

## Properties
- Spin magnetization: 1.18 μB/f.u.

---

Most stable: <Q> (next structure +201.4 kJ/mol of atoms)